! CaNiP2 | the Alexandria database | PBE | optimized geometry; values from VASP
&SYSTEM
  ibrav = 0, nat = 4, ntyp = 3
/
ATOMIC_SPECIES
P 30.97 P.upf
Ca 40.08 Ca.upf
Ni 58.69 Ni.upf
ATOMIC_POSITIONS crystal
P 0.054 0.054 0.054
P 0.281 0.281 0.281
Ca 0.493 0.493 0.493
Ni 0.672 0.672 0.672
CELL_PARAMETERS angstrom
6.182 -0.028 -0.017
5.088 3.511 -0.017
5.088 1.573 3.139
! Symmetry: R3m


! CaNi2P | the Alexandria database | PBE | optimized geometry; values from VASP
&SYSTEM
  ibrav = 0, nat = 8, ntyp = 3
/
ATOMIC_SPECIES
Ni 58.69 Ni.upf
P 30.97 P.upf
Ca 40.08 Ca.upf
ATOMIC_POSITIONS crystal
Ni 0.348 0.625 0.250
Ni 0.402 0.125 0.250
Ni 0.875 0.652 0.750
P 0.250 0.750 0.500
Ca 0.000 0.000 0.000
Ca 0.750 0.250 0.500
P 0.500 0.500 0.000
Ni 0.375 0.598 0.750
CELL_PARAMETERS angstrom
4.574 0.000 0.000
0.000 4.574 0.000
2.287 2.287 7.344
! Symmetry: I-42d


! Ca2NiP | the Alexandria database | PBE | optimized geometry; values from VASP
&SYSTEM
  ibrav = 0, nat = 8, ntyp = 3
/
ATOMIC_SPECIES
Ca 40.08 Ca.upf
Ni 58.69 Ni.upf
P 30.97 P.upf
ATOMIC_POSITIONS crystal
Ca 0.875 0.879 0.750
Ni 0.000 0.000 0.000
Ca 0.629 0.125 0.250
P 0.500 0.500 0.000
P 0.250 0.750 0.500
Ca 0.375 0.371 0.750
Ca 0.121 0.625 0.250
Ni 0.750 0.250 0.500
CELL_PARAMETERS angstrom
-7.210 1.635 1.515
1.228 -1.368 7.319
-2.207 3.182 4.856
! Symmetry: I-42d


! Ca2Ni7P4 | the Alexandria database | PBE | optimized geometry; values from VASP
&SYSTEM
  ibrav = 0, nat = 26, ntyp = 3
/
ATOMIC_SPECIES
Ca 40.08 Ca.upf
P 30.97 P.upf
Ni 58.69 Ni.upf
ATOMIC_POSITIONS crystal
Ca 0.000 0.438 0.178
P 0.500 0.187 0.212
Ni 0.500 0.696 0.100
Ni 0.500 0.940 0.201
Ca 0.500 0.940 0.895
Ni 0.000 0.416 0.874
Ni 0.000 0.096 0.096
P 0.000 0.478 0.458
Ni 0.000 0.685 0.913
Ni 0.500 0.315 0.413
Ni 0.500 0.272 0.009
Ni 0.000 0.060 0.701
Ca 0.500 0.562 0.678
P 0.500 0.819 0.392
P 0.000 0.844 0.084
P 0.500 0.522 0.958
Ni 0.000 0.748 0.273
P 0.000 0.181 0.892
Ni 0.500 0.904 0.596
P 0.000 0.813 0.712
Ni 0.000 0.304 0.600
Ni 0.000 0.728 0.509
Ca 0.000 0.060 0.395
Ni 0.500 0.252 0.773
Ni 0.500 0.584 0.374
P 0.500 0.156 0.584
CELL_PARAMETERS angstrom
-0.550 3.552 -0.859
-8.980 -1.665 -1.128
-1.658 2.164 10.009
! Symmetry: Pmn2_1


! Ca2NiP | the Alexandria database | PBE | optimized geometry; values from VASP
&SYSTEM
  ibrav = 0, nat = 4, ntyp = 3
/
ATOMIC_SPECIES
P 30.97 P.upf
Ni 58.69 Ni.upf
Ca 40.08 Ca.upf
ATOMIC_POSITIONS crystal
P 0.500 0.577 0.722
Ni 0.000 0.670 0.536
Ca 0.000 0.983 0.909
Ca 0.500 0.271 0.333
CELL_PARAMETERS angstrom
4.114 0.000 0.000
0.000 4.293 0.004
0.000 2.141 4.981
! Symmetry: Amm2


! Ca2Ni2P | the Alexandria database | PBE | optimized geometry; values from VASP
&SYSTEM
  ibrav = 0, nat = 10, ntyp = 3
/
ATOMIC_SPECIES
Ca 40.08 Ca.upf
P 30.97 P.upf
Ni 58.69 Ni.upf
ATOMIC_POSITIONS crystal
Ca 0.180 0.680 0.500
P 0.000 0.000 0.000
Ca 0.820 0.320 0.500
Ni 0.135 0.365 0.000
Ca 0.320 0.180 0.500
Ni 0.865 0.635 0.000
Ni 0.635 0.135 0.000
Ca 0.680 0.820 0.500
P 0.500 0.500 0.000
Ni 0.365 0.865 0.000
CELL_PARAMETERS angstrom
-4.550 2.489 3.799
-3.750 -5.093 -1.154
1.721 -2.037 3.395
! Symmetry: P4/mbm


! Ca2NiP | the Alexandria database | PBE | optimized geometry; values from VASP
&SYSTEM
  ibrav = 0, nat = 4, ntyp = 3
/
ATOMIC_SPECIES
P 30.97 P.upf
Ni 58.69 Ni.upf
Ca 40.08 Ca.upf
ATOMIC_POSITIONS crystal
P 0.000 0.500 0.500
Ni 0.500 0.000 0.500
Ca 0.000 0.000 0.000
Ca 0.500 0.500 0.000
CELL_PARAMETERS angstrom
4.653 0.028 0.010
-0.030 4.653 0.010
-0.009 -0.009 3.766
! Symmetry: P4/mmm


! CaNiP4 | the Alexandria database | PBE | optimized geometry; values from VASP
&SYSTEM
  ibrav = 0, nat = 12, ntyp = 3
/
ATOMIC_SPECIES
P 30.97 P.upf
Ni 58.69 Ni.upf
Ca 40.08 Ca.upf
ATOMIC_POSITIONS crystal
P 0.500 0.500 0.713
P 0.500 0.500 0.287
Ni 0.000 0.000 0.500
P 0.500 0.000 0.297
P 0.753 0.247 0.500
Ca 0.317 0.683 0.000
P 0.000 0.500 0.297
P 0.247 0.753 0.500
P 0.000 0.500 0.703
P 0.500 0.000 0.703
Ca 0.683 0.317 0.000
Ni 0.000 0.000 0.000
CELL_PARAMETERS angstrom
-1.947 -1.970 4.568
5.304 -0.639 0.034
0.877 7.470 3.596
! Symmetry: Cmmm


! Ca2NiP2 | the Alexandria database | PBE | optimized geometry; values from VASP
&SYSTEM
  ibrav = 0, nat = 10, ntyp = 3
/
ATOMIC_SPECIES
Ni 58.69 Ni.upf
Ca 40.08 Ca.upf
P 30.97 P.upf
ATOMIC_POSITIONS crystal
Ni 0.500 0.500 0.000
Ca 0.323 0.177 0.500
P 0.373 0.873 0.000
Ni 0.000 0.000 0.000
Ca 0.677 0.823 0.500
Ca 0.823 0.323 0.500
Ca 0.177 0.677 0.500
P 0.627 0.127 0.000
P 0.873 0.627 0.000
P 0.127 0.373 0.000
CELL_PARAMETERS angstrom
-6.487 0.085 0.472
-0.360 -5.098 -4.024
0.212 -2.692 3.392
! Symmetry: P4/mbm


! CaNiP2 | the Alexandria database | PBE | optimized geometry; values from VASP
&SYSTEM
  ibrav = 0, nat = 4, ntyp = 3
/
ATOMIC_SPECIES
P 30.97 P.upf
Ca 40.08 Ca.upf
Ni 58.69 Ni.upf
ATOMIC_POSITIONS crystal
P 0.079 0.079 0.000
Ca 0.750 0.250 0.500
Ni 0.250 0.750 0.500
P 0.421 0.421 0.000
CELL_PARAMETERS angstrom
4.789 -0.022 0.023
-0.319 4.778 -0.023
-1.249 -3.305 3.233
! Symmetry: Immm


! CaNi3P3 | the Alexandria database | PBE | optimized geometry; values from VASP
&SYSTEM
  ibrav = 0, nat = 14, ntyp = 3
/
ATOMIC_SPECIES
Ni 58.69 Ni.upf
P 30.97 P.upf
Ca 40.08 Ca.upf
ATOMIC_POSITIONS crystal
Ni 0.874 0.537 0.379
Ni 0.211 0.874 0.379
P 0.097 0.771 0.711
Ni 0.789 0.126 0.621
P 0.229 0.579 0.289
P 0.903 0.229 0.289
Ni 0.126 0.463 0.621
P 0.421 0.097 0.711
Ca 0.333 0.333 0.001
Ni 0.537 0.211 0.379
Ca 0.667 0.667 0.999
P 0.771 0.421 0.711
Ni 0.463 0.789 0.621
P 0.579 0.903 0.289
CELL_PARAMETERS angstrom
-1.141 4.825 4.115
2.169 -0.350 6.056
6.019 4.423 1.526
! Symmetry: R-3


! CaNi4P | the Alexandria database | PBE | optimized geometry; values from VASP
&SYSTEM
  ibrav = 0, nat = 6, ntyp = 3
/
ATOMIC_SPECIES
Ni 58.69 Ni.upf
Ca 40.08 Ca.upf
P 30.97 P.upf
ATOMIC_POSITIONS crystal
Ni 0.376 0.872 0.376
Ni 0.376 0.376 0.872
Ni 0.376 0.376 0.376
Ca 0.000 0.000 0.000
Ni 0.872 0.376 0.376
P 0.750 0.750 0.750
CELL_PARAMETERS angstrom
-4.387 -0.646 2.000
-3.903 -0.602 -2.841
-2.175 -4.344 -0.258
! Symmetry: F-43m


Respective Fermi-level density of states values: 1.49, 4.27, 3.94, 14.81, 3.05, 7.75, 3.23, 10.45, 3.90, 2.65, 8.20, 6.84 states/eV per cell.
Respective energy of formation from the pure elements values: -0.600, -0.493, -0.148, -0.746, -0.688, -0.312, -0.420, 0.403, -0.719, -0.583, -0.607, -0.018 eV per atom.
Respective ρ values: 3.9, 4.1, 3.1, 5.8, 3.2, 4.3, 3.5, 3.3, 3.6, 3.6, 4.3, 6.2 g cm⁻³.